! SCAN KIn3S, PBEsol geometry; values from VASP
&SYSTEM
  ibrav = 0, nat = 5, ntyp = 3
/
ATOMIC_SPECIES
K 39.10 K.upf
In 114.82 In.upf
S 32.06 S.upf
ATOMIC_POSITIONS angstrom
K 0.0000 0.0000 0.0000
In 0.0000 2.7423 2.7423
In 2.7423 0.0000 2.7423
In 2.7423 2.7423 0.0000
S 2.7423 2.7423 2.7423
CELL_PARAMETERS angstrom
5.4847 0.0000 0.0000
0.0000 5.4847 0.0000
0.0000 0.0000 5.4847
! Formation energy from raw total energies in eV per atom: 0.08
! Symmetry: Pm-3m
! Total energy in eV per atom: -23.54
! Magnetization in μB per cell: 0.0
! Density of states at the Fermi level in states/eV per atom: 0.782